(1)
# BaAcPd

A geometry-optimized BaAcPd structure (PBE-GGA, the Alexandria database).

```
6
Lattice="3.987 -3.987 0.000 3.987 3.987 0.000 -0.011 0.000 7.306" Properties=species:S:1:pos:R:3 pbc="T T T"
Ba 1.994 0.000 0.703
Ba 5.970 0.000 6.603
Ac 3.982 1.995 3.653
Ac 3.982 -1.995 3.653
Pd 1.990 0.000 4.852
Pd 5.973 0.000 2.455
```

Summary:
Energy above the most stable polymorph in this dataset   16 kJ/mol of formula units
Formation enthalpy at 0 K   -44.39 kJ/mol of atoms
Calculated density   6.7 g cm⁻³
Fermi-level density of states   0.910 states/eV/atom

***

(2)
# La3ThCl

A geometry-optimized La3ThCl structure (PBE-GGA, the Alexandria database).

```
5
Lattice="5.546 0.000 0.000 0.000 5.546 0.000 0.000 0.000 5.546" Properties=species:S:1:pos:R:3 pbc="T T T"
La 0.000 0.000 2.773
La 0.000 2.773 0.000
La 2.773 0.000 0.000
Th 2.773 2.773 2.773
Cl 0.000 0.000 0.000
```

Summary:
Uncorrected energy   -26.4 eV per cell
Calculated density   6.7 g cm⁻³
Fermi-level density of states   1.506 states/eV/atom

***

(3)
# TlCr2Ag

A geometry-optimized TlCr2Ag structure (PBE-GGA, the Alexandria database).

```
4
Lattice="4.904 -1.473 0.000 4.904 1.473 0.000 -1.742 0.000 5.005" Properties=species:S:1:pos:R:3 pbc="T T T"
Tl 0.000 0.000 0.000
Cr 1.359 0.000 3.255
Cr 6.707 0.000 1.750
Ag 4.033 0.000 2.503
```

Summary:
Formation enthalpy at 0 K   70.02 kJ/mol of atoms
Calculated density   9.6 g cm⁻³
Fermi-level density of states   0.670 states/eV/atom

***

(4)
# CoCu3Os

A geometry-optimized CoCu3Os structure (PBE-GGA, the Alexandria database).

```
5
Lattice="4.617 0.000 0.000 0.000 4.617 0.000 0.000 0.000 4.617" Properties=species:S:1:pos:R:3 pbc="T T T"
Co 0.000 0.000 0.000
Cu 0.000 2.308 2.308
Cu 2.308 0.000 2.308
Cu 2.308 2.308 0.000
Os 2.308 2.308 2.308
```

Summary:
Formation enthalpy at 0 K   170.24 kJ/mol of atoms
Calculated density   7.4 g cm⁻³
Fermi-level density of states   0.870 states/eV/atom

***

(5)
# ZnCrIn2

A geometry-optimized ZnCrIn2 structure (PBE-GGA, the Alexandria database).

```
4
Lattice="3.461 0.000 0.000 0.000 3.821 0.000 0.000 0.000 5.958" Properties=species:S:1:pos:R:3 pbc="T T T"
Zn 0.000 0.000 0.000
Cr 0.000 0.000 2.979
In 1.731 1.910 1.498
In 1.731 1.910 4.460
```

Summary:
Formation enthalpy at 0 K   25.94 kJ/mol of atoms
Calculated density   7.3 g cm⁻³
Fermi-level density of states   0.461 states/eV/atom

***

(6)
# La2YTe4

A geometry-optimized La2YTe4 structure (PBE-GGA, the Alexandria database).

```
14
Lattice="2.165 -7.562 0.000 2.165 7.562 0.000 0.000 0.000 15.366" Properties=species:S:1:pos:R:3 pbc="T T T"
La 2.165 5.570 8.805
La 2.165 5.570 14.244
La 2.165 -5.570 1.122
La 2.165 -5.570 6.561
Y 2.165 1.952 11.525
Y 2.165 -1.952 3.842
Te 2.165 7.274 11.525
Te 2.165 4.272 1.938
Te 2.165 4.272 5.745
Te 2.165 0.000 0.000
Te 2.165 0.000 7.683
Te 2.165 -4.272 9.621
Te 2.165 -4.272 13.428
Te 2.165 -7.274 3.842
```

Summary:
Energy above the most stable polymorph in this dataset   41 kJ/mol of formula units
Calculated density   5.8 g cm⁻³
Fermi-level density of states   0.396 states/eV/atom

***

(7)
# SmEr2Sc

A geometry-optimized SmEr2Sc structure (PBE-GGA, the Alexandria database).

```
4
Lattice="4.894 0.000 0.000 0.000 4.894 0.000 0.000 0.000 4.958" Properties=species:S:1:pos:R:3 pbc="T T T"
Sm 0.000 0.000 0.000
Er 0.000 2.447 2.479
Er 2.447 0.000 2.479
Sc 2.447 2.447 0.000
```

Summary:
Energy above the most stable polymorph in this dataset   6 kJ/mol of formula units
Formation enthalpy at 0 K   4.16 kJ/mol of atoms
Calculated density   7.4 g cm⁻³
Fermi-level density of states   1.586 states/eV/atom

***

(8)
# YSb

A geometry-optimized YSb structure (PBE-GGA, the Alexandria database).

```
8
Lattice="-4.743 4.743 4.743 4.743 -4.743 4.743 4.743 4.743 -4.743" Properties=species:S:1:pos:R:3 pbc="T T T"
Y 3.317 3.317 -3.317
Y 3.317 -3.317 3.317
Y 1.426 1.426 1.426
Y -3.317 3.317 3.317
Sb 1.586 1.586 -1.586
Sb 1.586 -1.586 1.586
Sb -1.586 1.586 1.586
Sb 3.157 3.157 3.157
```

Summary:
Uncorrected energy   -46.8 eV per cell
Calculated density   3.3 g cm⁻³

***

(9)
# Zn2BiB

A geometry-optimized Zn2BiB structure (PBE-GGA, the Alexandria database).

```
8
Lattice="-3.944 3.944 2.786 3.944 -3.944 2.786 3.944 3.944 -2.786" Properties=species:S:1:pos:R:3 pbc="T T T"
Zn 0.000 0.000 0.000
Zn 1.972 1.972 -1.393
Zn 1.972 -1.972 1.393
Zn 0.000 3.944 0.000
Bi 3.944 1.972 0.696
Bi 0.000 1.972 2.089
B 3.944 -1.972 2.089
B 0.000 5.916 0.696
```

Summary:
Energy above the most stable polymorph in this dataset   0 kJ/mol of formula units
Formation enthalpy at 0 K   50.25 kJ/mol of atoms
Calculated density   6.7 g cm⁻³
Fermi-level density of states   0.375 states/eV/atom

***

(10)
# K2TeAs

A geometry-optimized K2TeAs structure (PBE-GGA, the Alexandria database).

```
8
Lattice="-4.732 4.732 3.035 4.732 -4.732 3.035 4.732 4.732 -3.035" Properties=species:S:1:pos:R:3 pbc="T T T"
K 7.098 2.132 -0.759
K 2.132 2.366 0.759
K -2.366 2.600 2.277
K 2.600 2.366 3.794
Te 4.732 0.000 1.518
Te 0.000 0.000 3.035
As 0.000 0.000 0.000
As 0.000 4.732 1.518
```

Summary:
Energy above the most stable polymorph in this dataset   100 kJ/mol of formula units
Calculated density   3.4 g cm⁻³
Fermi-level density of states   0.682 states/eV/atom

***

(11)
# Co3Cu

A geometry-optimized Co3Cu structure (PBE-GGA, the Alexandria database).

```
8
Lattice="4.089 0.000 0.000 0.000 4.994 0.000 0.000 0.000 4.366" Properties=species:S:1:pos:R:3 pbc="T T T"
Co 1.022 0.005 0.721
Co 1.022 1.248 2.923
Co 1.022 2.492 0.721
Co 3.067 2.502 3.646
Co 3.067 3.745 1.443
Co 3.067 4.989 3.646
Cu 1.022 3.745 2.900
Cu 3.067 1.248 1.466
```

Summary:
Formation enthalpy at 0 K   9.26 kJ/mol of atoms
Calculated density   9.0 g cm⁻³
Fermi-level density of states   0.884 states/eV/atom

***

(12)
# BaMg2ReF

A geometry-optimized BaMg2ReF structure (PBE-GGA, the Alexandria database).

```
5
Lattice="5.345 0.000 0.000 0.000 5.345 0.000 0.000 0.000 4.385" Properties=species:S:1:pos:R:3 pbc="T T T"
Ba 0.000 0.000 0.000
Mg 0.000 2.672 2.193
Mg 2.672 0.000 2.193
Re 2.672 2.672 2.193
F 2.672 2.672 0.000
```

Summary:
Uncorrected energy   -18.7 eV per cell
Calculated density   5.2 g cm⁻³
Fermi-level density of states   0.908 states/eV/atom

***

(13)
# AcY5Tm6

A geometry-optimized AcY5Tm6 structure (PBE-GGA, the Alexandria database).

```
12
Lattice="3.089 -5.348 0.000 3.089 5.348 0.000 -2.059 0.000 11.622" Properties=species:S:1:pos:R:3 pbc="T T T"
Ac 0.000 0.000 0.000
Y 2.059 3.561 5.811
Y 3.089 1.782 0.000
Y 2.059 0.000 5.811
Y 3.089 -1.782 0.000
Y 2.059 -3.561 5.811
Tm 1.034 1.795 2.954
Tm 0.018 0.000 8.667
Tm 1.034 -1.795 2.954
Tm 3.084 1.795 8.668
Tm 4.101 0.000 2.955
Tm 3.084 -1.795 8.668
```

Summary:
Formation enthalpy at 0 K   4.04 kJ/mol of atoms
Calculated density   7.3 g cm⁻³
Fermi-level density of states   1.431 states/eV/atom

***

(14)
# Ti2Fe2Au

A geometry-optimized Ti2Fe2Au structure (PBE-GGA, the Alexandria database).

```
10
Lattice="6.848 0.000 0.000 0.000 6.848 0.000 0.000 0.000 3.084" Properties=species:S:1:pos:R:3 pbc="T T T"
Ti 1.241 2.183 0.000
Ti 2.183 5.607 0.000
Ti 4.665 1.241 0.000
Ti 5.607 4.665 0.000
Fe 0.806 4.230 1.542
Fe 2.618 0.806 1.542
Fe 4.230 6.041 1.542
Fe 6.041 2.618 1.542
Au 0.000 0.000 1.542
Au 3.424 3.424 1.542
```

Summary:
Formation enthalpy at 0 K   -19.39 kJ/mol of atoms
Calculated density   9.3 g cm⁻³
Fermi-level density of states   1.210 states/eV/atom

***

(15)
# K4UTe5

A geometry-optimized K4UTe5 structure (PBE-GGA, the Alexandria database).

```
10
Lattice="-5.903 5.903 3.005 5.903 -5.903 3.005 5.903 5.903 -3.005" Properties=species:S:1:pos:R:3 pbc="T T T"
K 3.267 0.000 0.000
K 8.538 0.000 0.000
K 0.000 3.267 0.000
K 0.000 8.538 0.000
U 0.000 0.000 3.005
Te 0.000 0.000 0.000
Te 3.826 3.826 0.000
Te 2.076 -2.076 3.005
Te -2.076 2.076 3.005
Te 2.076 2.076 3.005
```

Summary:
Energy above the most stable polymorph in this dataset   65 kJ/mol of formula units
Calculated density   4.1 g cm⁻³
Fermi-level density of states   0.385 states/eV/atom

***

(16)
# TlCd3Ni

A geometry-optimized TlCd3Ni structure (PBE-GGA, the Alexandria database).

```
5
Lattice="5.522 0.000 0.000 0.000 5.522 0.000 0.000 0.000 5.522" Properties=species:S:1:pos:R:3 pbc="T T T"
Tl 0.000 0.000 0.000
Cd 0.000 0.000 2.761
Cd 0.000 2.761 0.000
Cd 2.761 0.000 0.000
Ni 2.761 2.761 2.761
```

Summary:
Energy above the most stable polymorph in this dataset   439 kJ/mol of formula units
Formation enthalpy at 0 K   99.92 kJ/mol of atoms
Calculated density   5.9 g cm⁻³
Fermi-level density of states   2.069 states/eV/atom

***

(17)
# RbTaSi2

A geometry-optimized RbTaSi2 structure (PBE-GGA, the Alexandria database).

```
8
Lattice="-2.976 2.976 7.890 2.976 -2.976 7.890 2.976 2.976 -7.890" Properties=species:S:1:pos:R:3 pbc="T T T"
Rb 2.976 1.488 1.972
Rb 0.000 1.488 5.917
Ta 2.976 -1.488 5.917
Ta 0.000 4.464 1.972
Si 0.000 0.000 0.000
Si 1.488 1.488 -3.945
Si 1.488 -1.488 3.945
Si 0.000 2.976 0.000
```

Summary:
Energy above the most stable polymorph in this dataset   0 kJ/mol of formula units
Calculated density   3.8 g cm⁻³
Fermi-level density of states   0.513 states/eV/atom

***

(18)
# La2MgAl

A geometry-optimized La2MgAl structure (PBE-GGA, the Alexandria database).

```
4
Lattice="5.205 -1.793 0.000 5.205 1.793 0.000 -1.215 0.000 6.553" Properties=species:S:1:pos:R:3 pbc="T T T"
La 2.233 0.000 1.501
La 6.963 0.000 5.052
Mg -0.607 0.000 3.276
Al 5.205 0.000 0.000
```

Summary:
Formation enthalpy at 0 K   -0.85 kJ/mol of atoms
Calculated density   4.5 g cm⁻³
Fermi-level density of states   0.860 states/eV/atom

***

(19)
# MnHgGeI2

A geometry-optimized MnHgGeI2 structure (PBE-GGA, the Alexandria database).

```
5
Lattice="6.071 0.000 0.000 0.000 6.071 0.000 0.000 0.000 5.210" Properties=species:S:1:pos:R:3 pbc="T T T"
Mn 0.000 0.000 0.000
Hg 0.000 0.000 2.605
Ge 3.036 3.036 0.000
I 0.000 3.036 2.605
I 3.036 0.000 2.605
```

Summary:
Uncorrected energy   -13.0 eV per cell
Calculated density   5.0 g cm⁻³
Fermi-level density of states   0.882 states/eV/atom

***

(20)
# Ta3V12Ru5

A geometry-optimized Ta3V12Ru5 structure (PBE-GGA, the Alexandria database).

```
80
Lattice="-7.133 7.133 7.133 7.133 -7.133 7.133 7.133 7.133 -7.133" Properties=species:S:1:pos:R:3 pbc="T T T"
Ta 3.566 1.783 0.000
Ta 7.133 3.566 -1.783
Ta 1.783 0.000 3.566
Ta 8.916 0.000 3.566
Ta 0.000 3.566 1.783
Ta 3.566 -1.783 7.133
Ta 3.566 8.916 0.000
Ta 7.133 3.566 5.349
Ta -1.783 7.133 3.566
Ta 5.349 7.133 3.566
Ta 0.000 3.566 8.916
Ta 3.566 5.349 7.133
V 2.107 -0.308 1.113
V 8.592 4.680 -3.874
V 6.825 -1.113 2.107
V 11.007 -1.460 2.453
V 9.239 0.308 1.113
V 8.592 -2.453 3.874
V 1.113 2.107 -0.308
V 9.586 3.258 -1.460
V 4.680 3.874 -1.460
V 6.019 2.107 0.308
V -0.308 1.113 2.107
V 3.874 -1.460 4.680
V 6.825 6.019 -2.107
V 3.874 1.460 2.453
V 6.019 -2.107 6.825
V 4.680 -3.874 8.592
V 2.453 3.874 1.460
V 8.246 5.026 0.308
V 2.107 6.825 -1.113
V 8.592 2.453 3.258
V 3.874 8.592 -2.453
V 6.825 1.113 5.026
V 1.460 2.453 3.874
V 2.107 0.308 6.019
V 5.026 6.825 1.113
V 5.673 4.680 3.258
V 0.308 6.019 2.107
V 3.258 -1.460 9.586
V -1.460 4.680 3.874
V 5.026 0.308 8.246
V -1.113 2.107 6.825
V 4.680 3.258 5.673
V 2.453 11.007 -1.460
V 1.113 9.239 0.308
V 3.258 5.673 4.680
V 0.308 1.113 9.239
V 3.258 8.592 2.453
V 7.440 6.019 5.026
V 1.113 5.026 6.825
V 2.453 3.258 8.592
V -2.453 3.874 8.592
V 6.019 5.026 7.440
V -1.460 9.586 3.258
V -2.107 6.825 6.019
V -3.874 8.592 4.680
V 0.308 8.246 5.026
V -1.460 2.453 11.007
V 5.026 7.440 6.019
Ru 0.000 0.000 0.000
Ru 3.566 3.566 -3.566
Ru 3.566 -3.566 3.566
Ru 7.133 0.000 0.000
Ru 10.699 1.783 0.000
Ru 7.133 -3.566 5.349
Ru 5.349 7.133 -3.566
Ru 5.349 0.000 3.566
Ru 3.566 5.349 0.000
Ru 7.133 3.566 1.783
Ru -3.566 3.566 3.566
Ru 0.000 7.133 0.000
Ru 0.000 0.000 7.133
Ru 3.566 3.566 3.566
Ru 0.000 3.566 5.349
Ru 3.566 1.783 7.133
Ru 1.783 7.133 3.566
Ru 1.783 0.000 10.699
Ru 0.000 10.699 1.783
Ru -3.566 5.349 7.133
```

Summary:
Formation enthalpy at 0 K   95.25 kJ/mol of atoms
Calculated density   7.6 g cm⁻³
Fermi-level density of states   1.688 states/eV/atom